(1)
The following is a GGA-PBE calculation of a relaxed structure of CoSiRh2, from the Alexandria database.

abc: 2.7944 2.7944 6.5112
angles: 90.00 90.00 90.00
Space group P4mm (No. 99)
Inequivalent atoms, fractional coordinates:
Co (0.0000, 0.0000, 0.0000) (multiplicity 1)
Si (0.5000, 0.5000, 0.7991) (multiplicity 1)
Rh (0.0000, 0.0000, 0.5740) (multiplicity 1)
Rh (0.5000, 0.5000, 0.2642) (multiplicity 1)

Output
- Formation energy without anion corrections: -320 meV/atom
- VASP energy: -28.510 eV for the cell shown

---

(2)
The following is a GGA-PBE calculation of a relaxed structure of TaCr2Pd2, from the Alexandria database.

abc: 7.3502 7.3502 2.7207
angles: 90.00 90.00 90.00
Space group P4/mbm (No. 127)
Inequivalent atoms, fractional coordinates:
Ta (0.0000, 0.0000, 0.0000) (multiplicity 2)
Cr (0.1023, 0.3977, 0.0000) (multiplicity 4)
Pd (0.1895, 0.6895, 0.5000) (multiplicity 4)

Output
- Energy relative to the elements: 0.219 eV/atom
- VASP energy: -80.784 eV for the cell shown

---

(3)
The following is a GGA-PBE calculation of a relaxed structure of MgCu2SiIr, from the Alexandria database.

abc: 4.3603 4.3603 4.4968
angles: 90.00 90.00 90.00
Space group P4/mmm (No. 123)
Inequivalent atoms, fractional coordinates:
Mg (0.0000, 0.0000, 0.0000) (multiplicity 1)
Cu (0.0000, 0.5000, 0.5000) (multiplicity 2)
Si (0.5000, 0.5000, 0.5000) (multiplicity 1)
Ir (0.5000, 0.5000, 0.0000) (multiplicity 1)

Output
- Formation energy without anion corrections: 196 meV/atom
- VASP energy: -23.090 eV for the cell shown

---

(4)
The following is a GGA-PBE calculation of a relaxed structure of ReTc, from the Alexandria database.

abc: 2.7680 2.7680 8.9125
angles: 90.00 90.00 120.00
Space group P-3m1 (No. 164)
Inequivalent atoms, fractional coordinates:
Re (0.3333, 0.6667, 0.3705) (multiplicity 2)
Tc (0.3333, 0.6667, 0.8726) (multiplicity 2)

Output
- Energy relative to the elements: 0.002 eV/atom
- VASP energy: -45.622 eV for the cell shown

---

(5)
The following is a GGA-PBE calculation of a relaxed structure of ErCd2Bi, from the Alexandria database.

abc: 3.3817 3.3817 35.3671
angles: 90.00 90.00 120.00
Space group R-3m (No. 166, hexagonal axes)
Inequivalent atoms, fractional coordinates:
Er (0.0000, 0.0000, 0.0000) (multiplicity 3)
Cd (0.0000, 0.0000, 0.0875) (multiplicity 6)
Bi (0.0000, 0.0000, 0.5000) (multiplicity 3)

Output
- Energy relative to the elements: 0.199 eV/atom
- VASP energy: -28.438 eV for the cell shown

---

(6)
The following is a GGA-PBE calculation of a relaxed structure of PrAl2Hg, from the Alexandria database.

abc: 7.1203 4.6168 11.0844
angles: 90.00 90.00 90.00
Space group Amm2 (No. 38)
Inequivalent atoms, fractional coordinates:
Pr (0.0000, 0.0000, 0.0000) (multiplicity 2)
Pr (0.5000, 0.0000, 0.1778) (multiplicity 2)
Al (0.0000, 0.0000, 0.2964) (multiplicity 2)
Al (0.3102, 0.0000, 0.4711) (multiplicity 4)
Al (0.5000, 0.0000, 0.8960) (multiplicity 2)
Hg (0.2040, 0.0000, 0.7132) (multiplicity 4)

Output
- Energy relative to the elements: -0.342 eV/atom
- VASP energy: -55.731 eV for the cell shown

---

Which of these has the lowest VASP energy?
TaCr2Pd2

---

What is the VASP energy in the first record?
-28.510 eV for the cell shown